1.
# PBE-GGA HgRu2W, optimized geometry
data_HgRu2W
_cell_length_a 4.484
_cell_length_b 4.484
_cell_length_c 4.484
_cell_angle_alpha 60.00
_cell_angle_beta 60.00
_cell_angle_gamma 60.00
_space_group_name_H-M_alt 'P 1'
_space_group_IT_number 1
_space_group_name_Hall 'P 1'
loop_
_atom_site_label
_atom_site_fract_x
_atom_site_fract_y
_atom_site_fract_z
Hg1 0.500 0.500 0.500
Ru1 0.750 0.750 0.750
Ru2 0.250 0.250 0.250
W1 0.000 0.000 0.000
# * energy: -30.26 eV for the cell shown
# * space group: No. 225

=====

2.
# PBE-GGA Al2ZnCr, optimized geometry
data_Al2ZnCr
_cell_length_a 3.164
_cell_length_b 3.164
_cell_length_c 5.755
_cell_angle_alpha 90.00
_cell_angle_beta 90.00
_cell_angle_gamma 90.00
_space_group_name_H-M_alt 'P 1'
_space_group_IT_number 1
_space_group_name_Hall 'P 1'
loop_
_atom_site_label
_atom_site_fract_x
_atom_site_fract_y
_atom_site_fract_z
Al1 0.000 0.000 0.489
Al2 0.000 0.000 0.011
Cr1 0.500 0.500 0.250
Zn1 0.500 0.500 0.750
# * energy: -18.43 eV for the cell shown
# * space group: No. 123

=====

3.
# PBE-GGA Sc2NbAuC, optimized geometry
data_Sc2NbAuC
_cell_length_a 4.456
_cell_length_b 4.456
_cell_length_c 4.334
_cell_angle_alpha 90.00
_cell_angle_beta 90.00
_cell_angle_gamma 90.00
_space_group_name_H-M_alt 'P 1'
_space_group_IT_number 1
_space_group_name_Hall 'P 1'
loop_
_atom_site_label
_atom_site_fract_x
_atom_site_fract_y
_atom_site_fract_z
Sc1 0.000 0.500 0.000
Sc2 0.500 0.000 0.000
Au1 0.500 0.500 0.500
Nb1 0.000 0.000 0.500
C1 0.000 0.000 0.000
# * energy: -37.62 eV for the cell shown
# * space group: No. 123

=====

4.
# PBE-GGA Mn2RuRhN, optimized geometry
data_Mn2RuRhN
_cell_length_a 3.923
_cell_length_b 3.923
_cell_length_c 3.944
_cell_angle_alpha 90.00
_cell_angle_beta 90.00
_cell_angle_gamma 90.00
_space_group_name_H-M_alt 'P 1'
_space_group_IT_number 1
_space_group_name_Hall 'P 1'
loop_
_atom_site_label
_atom_site_fract_x
_atom_site_fract_y
_atom_site_fract_z
N1 0.000 0.000 0.000
Rh1 0.500 0.500 0.500
Mn1 0.000 0.500 0.000
Mn2 0.500 0.000 0.000
Ru1 0.000 0.000 0.500
# * uncorrected formation energy: -0.03 eV per atom
# * energy: -43.47 eV for the cell shown
# * space group: No. 123

=====

5.
# PBE-GGA AcPtAu, optimized geometry
data_AcPtAu
_cell_length_a 4.453
_cell_length_b 7.718
_cell_length_c 6.550
_cell_angle_alpha 131.63
_cell_angle_beta 109.87
_cell_angle_gamma 90.00
_space_group_name_H-M_alt 'P 1'
_space_group_IT_number 1
_space_group_name_Hall 'P 1'
loop_
_atom_site_label
_atom_site_fract_x
_atom_site_fract_y
_atom_site_fract_z
Pt1 0.152 0.633 0.304
Pt2 0.848 0.367 0.696
Ac1 0.456 0.207 0.912
Ac2 0.544 0.793 0.088
Au1 0.837 0.770 0.673
Au2 0.163 0.230 0.327
# * energy: -32.43 eV for the cell shown
# * space group: No. 12

=====

6.
# PBE-GGA Sm12Er3Ge5, optimized geometry
data_Sm12Er3Ge5
_cell_length_a 15.548
_cell_length_b 15.548
_cell_length_c 15.548
_cell_angle_alpha 109.47
_cell_angle_beta 109.47
_cell_angle_gamma 109.47
_space_group_name_H-M_alt 'P 1'
_space_group_IT_number 1
_space_group_name_Hall 'P 1'
loop_
_atom_site_label
_atom_site_fract_x
_atom_site_fract_y
_atom_site_fract_z
Ge1 0.375 0.125 0.750
Ge2 0.250 0.875 0.125
Ge3 0.000 0.000 0.000
Ge4 0.875 0.625 0.750
Ge5 0.000 0.500 0.000
Ge6 0.125 0.375 0.250
Ge7 0.000 0.500 0.500
Ge8 0.625 0.750 0.875
Ge9 0.375 0.250 0.125
Ge10 0.125 0.750 0.375
Ge11 0.500 0.500 0.500
Ge12 0.250 0.375 0.625
Ge13 0.625 0.875 0.250
Ge14 0.000 0.000 0.500
Ge15 0.875 0.250 0.625
Ge16 0.750 0.125 0.875
Ge17 0.500 0.000 0.000
Ge18 0.750 0.625 0.375
Ge19 0.500 0.500 0.000
Ge20 0.500 0.000 0.500
Sm1 0.576 0.611 0.400
Sm2 0.111 0.400 0.076
Sm3 0.176 0.076 0.965
Sm4 0.676 0.465 0.576
Sm5 0.211 0.676 0.100
Sm6 0.535 0.324 0.924
Sm7 0.576 0.965 0.676
Sm8 0.424 0.035 0.324
Sm9 0.611 0.035 0.211
Sm10 0.900 0.824 0.789
Sm11 0.111 0.711 0.535
Sm12 0.611 0.576 0.900
Sm13 0.176 0.100 0.711
Sm14 0.100 0.176 0.211
Sm15 0.824 0.924 0.035
Sm16 0.324 0.789 0.400
Sm17 0.889 0.600 0.924
Sm18 0.535 0.211 0.111
Sm19 0.965 0.576 0.176
Sm20 0.965 0.389 0.289
Sm21 0.211 0.535 0.611
Sm22 0.600 0.711 0.676
Sm23 0.900 0.076 0.611
Sm24 0.924 0.824 0.535
Sm25 0.424 0.389 0.600
Sm26 0.100 0.924 0.389
Sm27 0.924 0.100 0.889
Sm28 0.389 0.424 0.100
Sm29 0.465 0.676 0.076
Sm30 0.289 0.889 0.965
Sm31 0.676 0.211 0.600
Sm32 0.789 0.465 0.389
Sm33 0.324 0.535 0.424
Sm34 0.789 0.324 0.900
Sm35 0.465 0.789 0.889
Sm36 0.289 0.400 0.824
Sm37 0.889 0.289 0.465
Sm38 0.035 0.424 0.824
Sm39 0.400 0.111 0.576
Sm40 0.076 0.176 0.465
Sm41 0.600 0.889 0.424
Sm42 0.389 0.965 0.789
Sm43 0.824 0.900 0.289
Sm44 0.711 0.111 0.035
Sm45 0.711 0.600 0.176
Sm46 0.076 0.900 0.111
Sm47 0.400 0.289 0.324
Sm48 0.035 0.611 0.711
Er1 0.625 0.375 0.750
Er2 0.125 0.875 0.750
Er3 0.250 0.125 0.375
Er4 0.250 0.625 0.875
Er5 0.750 0.875 0.625
Er6 0.375 0.750 0.625
Er7 0.875 0.125 0.250
Er8 0.375 0.625 0.250
Er9 0.125 0.250 0.875
Er10 0.875 0.750 0.125
Er11 0.625 0.250 0.375
Er12 0.750 0.375 0.125
# * energy: -360.21 eV for the cell shown
# * space group: No. 230

=====

Question: What is the formula in the second record?
Answer: Al2ZnCr